! PBE with a Hubbard U KMoOF2, relaxed; values from VASP
&SYSTEM
  ibrav = 0, nat = 5, ntyp = 4
/
ATOMIC_SPECIES
Mo 95.94 Mo.upf
K 39.10 K.upf
O 16.00 O.upf
F 19.00 F.upf
ATOMIC_POSITIONS angstrom
Mo 0.000 0.000 0.000
K 2.157 2.157 2.092
O 0.000 0.000 2.092
F 0.000 2.157 0.000
F 2.157 0.000 0.000
CELL_PARAMETERS angstrom
4.314 0.000 0.000
0.000 4.314 0.000
0.000 0.000 4.183
! Energy, eV per atom: -5.544